Entry 1:
This record from Alexandria via LeMat-Bulk describes a geometry-optimized CrRe2Ir structure. The functional is PBE-GGA.

## Properties
energy relative to the elements = -1 kJ/mol of formula units
symmetry = C2/m (12)

a = 4.715 Å, b = 4.715 Å, c = 4.703 Å
α = 80.64°, β = 80.64°, γ = 33.53°
Element x y z (fractional)
Re (0.501, 0.501, 0.503)
Re (0.999, 0.999, 0.997)
Ir (0.250, 0.250, 0.250)
Cr (0.750, 0.750, 0.750)



Entry 2:
This record from Alexandria via LeMat-Bulk describes a geometry-optimized CrReIr structure. The functional is PBE-GGA.

## Properties
energy relative to the elements = -9 kJ/mol of formula units
symmetry = Imm2 (44)

a = 4.692 Å, b = 4.692 Å, c = 4.692 Å
α = 146.78°, β = 132.22°, γ = 59.43°
Element x y z (fractional)
Cr (0.000, 0.000, 0.000)
Re (0.664, 0.664, 0.000)
Ir (0.336, 0.336, 0.000)



Entry 3:
This record from Alexandria via LeMat-Bulk describes a geometry-optimized CrRe2Ir structure. The functional is PBE-GGA.

## Properties
energy relative to the elements = 34 kJ/mol of formula units
symmetry = R-3m (166)

a = 8.958 Å, b = 8.958 Å, c = 8.958 Å
α = 17.54°, β = 17.54°, γ = 17.54°
Element x y z (fractional)
Cr (0.250, 0.250, 0.250)
Re (0.503, 0.503, 0.503)
Ir (0.750, 0.750, 0.750)
Re (0.997, 0.997, 0.997)



Entry 4:
This record from Alexandria via LeMat-Bulk describes a geometry-optimized CrRe2Ir structure. The functional is PBE-GGA.

## Properties
energy relative to the elements = 277 kJ/mol of formula units
symmetry = I-42d (122)

a = 3.786 Å, b = 3.786 Å, c = 9.182 Å
α = 78.10°, β = 78.10°, γ = 90.00°
Element x y z (fractional)
Cr (0.500, 0.500, 0.000)
Re (0.875, 0.839, 0.750)
Re (0.589, 0.125, 0.250)
Cr (0.250, 0.750, 0.500)
Ir (0.000, 0.000, 0.000)
Ir (0.750, 0.250, 0.500)
Re (0.161, 0.625, 0.250)
Re (0.375, 0.411, 0.750)



Entry 5:
This record from Alexandria via LeMat-Bulk describes a geometry-optimized CrReIr structure. The functional is PBE-GGA.

## Properties
energy relative to the elements = 3 kJ/mol of formula units
symmetry = P-6m2 (187)

a = 4.256 Å, b = 4.256 Å, c = 2.661 Å
α = 90.00°, β = 90.00°, γ = 120.00°
Element x y z (fractional)
Ir (0.667, 0.333, 0.333)
Re (0.333, 0.667, 0.833)
Cr (0.000, 0.000, 0.834)



Entry 6:
This record from Alexandria via LeMat-Bulk describes a geometry-optimized CrReIr structure. The functional is PBE-GGA.

## Properties
energy relative to the elements = 139 kJ/mol of formula units
symmetry = Cmcm (63)

a = 2.751 Å, b = 3.875 Å, c = 9.091 Å
α = 90.00°, β = 98.70°, γ = 90.00°
Element x y z (fractional)
Ir (0.457, 0.750, 0.915)
Re (0.295, 0.250, 0.590)
Cr (0.152, 0.250, 0.303)
Ir (0.543, 0.250, 0.085)
Cr (0.848, 0.750, 0.697)
Re (0.705, 0.750, 0.410)



Entry 7:
This record from Alexandria via LeMat-Bulk describes a geometry-optimized Cr2ReIr structure. The functional is PBE-GGA.

## Properties
energy relative to the elements = -1 kJ/mol of formula units
symmetry = I-4m2 (119)

a = 4.661 Å, b = 4.661 Å, c = 4.661 Å
α = 132.74°, β = 132.74°, γ = 69.06°
Element x y z (fractional)
Ir (0.500, 0.500, 0.000)
Cr (0.250, 0.750, 0.500)
Cr (0.000, 0.000, 0.000)
Re (0.750, 0.250, 0.500)



Entry 8:
This record from Alexandria via LeMat-Bulk describes a geometry-optimized CrReIr3 structure. The functional is PBE-GGA.

## Properties
energy relative to the elements = 822 kJ/mol of formula units
symmetry = Pm-3m (221)

a = 4.430 Å, b = 4.430 Å, c = 4.430 Å
α = 90.00°, β = 90.00°, γ = 90.00°
Element x y z (fractional)
Ir (0.500, 0.000, 0.000)
Re (0.500, 0.500, 0.500)
Ir (0.000, 0.500, 0.000)
Ir (0.000, 0.000, 0.500)
Cr (0.000, 0.000, 0.000)



| no. | size of the total moment (μB/atom) |
| --- | --- |
| 1 | 0.16 |
| 2 | 0.00 |
| 3 | 0.00 |
| 4 | 0.00 |
| 5 | 0.00 |
| 6 | 0.00 |
| 7 | 0.04 |
| 8 | 0.63 |